Compound: NaY2TmSe4
Source: Alexandria via LeMat-Bulk
Functional: PBE-GGA
Structure: optimized geometry

Unit cell a=7.0923 b=4.0587 c=7.0984 alpha=90.00 beta=108.96 gamma=90.00
Space group P2/m (No. 10)
Symmetry-distinct sites (fractional):
Na: 0.0000 0.0000 0.0000
Y: 0.0000 0.5000 0.5000
Y: 0.5000 0.0000 0.5000
Tm: 0.5000 0.5000 0.0000
Se: 0.2538 0.0000 0.7551
Se: 0.2549 0.5000 0.2504

Calculated values
Calculated total energy = -5.802 eV/atom

***

Compound: LiRe3P
Source: Alexandria via LeMat-Bulk
Functional: PBE-GGA
Structure: optimized geometry

Unit cell a=4.3879 b=4.3879 c=4.3879 alpha=90.00 beta=90.00 gamma=90.00
Space group Pm-3m (No. 221)
Symmetry-distinct sites (fractional):
Li: 0.0000 0.0000 0.0000
Re: 0.0000 0.5000 0.5000
P: 0.5000 0.5000 0.5000

Calculated values
Formation energy from the elements = 4.6 eV per formula unit
ΔE to the lowest computed polymorph = 0.0000 eV/atom

***

Compound: LaMo
Source: Alexandria via LeMat-Bulk
Functional: PBE-GGA
Structure: optimized geometry

Unit cell a=3.0361 b=3.0361 c=11.2191 alpha=90.00 beta=90.00 gamma=120.00
Space group P6_3mc (No. 186)
Symmetry-distinct sites (fractional):
La: 0.3333 0.6667 0.0000
Mo: 0.3333 0.6667 0.2572

Calculated values
Formation energy from the elements = 2.0 eV per formula unit
ΔE to the lowest computed polymorph = 0.7607 eV/atom

***

Compound: NaCdNF2
Source: Alexandria via LeMat-Bulk
Functional: PBE-GGA
Structure: optimized geometry

Unit cell a=4.5954 b=4.5954 c=4.3495 alpha=90.00 beta=90.00 gamma=90.00
Space group P4/mmm (No. 123)
Symmetry-distinct sites (fractional):
Na: 0.0000 0.0000 0.0000
Cd: 0.5000 0.5000 0.5000
N: 0.5000 0.5000 0.0000
F: 0.0000 0.5000 0.5000

Calculated values
ΔE to the lowest computed polymorph = 0.0000 eV/atom

***

Compound: CoTeAsSe2
Source: Alexandria via LeMat-Bulk
Functional: PBE-GGA
Structure: optimized geometry

Unit cell a=4.5328 b=4.5328 c=5.3525 alpha=90.00 beta=90.00 gamma=90.00
Space group P4/mmm (No. 123)
Symmetry-distinct sites (fractional):
Co: 0.0000 0.0000 0.0000
Te: 0.0000 0.0000 0.5000
As: 0.5000 0.5000 0.5000
Se: 0.0000 0.5000 0.0000

Calculated values
ΔE to the lowest computed polymorph = 0.0970 eV/atom

***

Compound: Ta2HgMo
Source: Alexandria via LeMat-Bulk
Functional: PBE-GGA
Structure: optimized geometry

Unit cell a=5.7797 b=9.3611 c=2.8130 alpha=90.00 beta=108.47 gamma=90.00
Space group C2/m (No. 12)
Symmetry-distinct sites (fractional):
Ta: 0.2500 0.2500 0.0000
Hg: 0.0000 0.0000 0.5000
Mo: 0.0000 0.5000 0.5000

Calculated values
Formation energy from the elements = 1.2 eV per formula unit

***

Compound: Na3Dy2HoTe6
Source: Alexandria via LeMat-Bulk
Functional: PBE-GGA
Structure: optimized geometry

Unit cell a=7.6579 b=13.2650 c=7.9854 alpha=90.00 beta=108.65 gamma=90.00
Space group C2/m (No. 12)
Symmetry-distinct sites (fractional):
Na: 0.0000 0.0000 0.0000
Na: 0.0000 0.3328 0.0000
Dy: 0.0000 0.1666 0.5000
Ho: 0.0000 0.5000 0.5000
Te: 0.2434 0.3338 0.7316
Te: 0.2449 0.0000 0.7317

Calculated values
Calculated total energy = -4.363 eV/atom

***

Compound: CeTlAg2Cl6
Source: Alexandria via LeMat-Bulk
Functional: PBE-GGA
Structure: optimized geometry

Unit cell a=7.4261 b=7.4261 c=19.7079 alpha=90.00 beta=90.00 gamma=120.00
Space group R3 (No. 146, hexagonal axes)
Symmetry-distinct sites (fractional):
Ce: 0.0000 0.0000 0.0000
Tl: 0.0000 0.0000 0.5058
Ag: 0.0000 0.0000 0.2054
Ag: 0.0000 0.0000 0.7532
Cl: 0.0051 0.6462 0.5964
Cl: 0.0651 0.3677 0.7611

Calculated values
Calculated total energy = -3.757 eV/atom

***

Compound: IrSe2I
Source: Alexandria via LeMat-Bulk
Functional: PBE-GGA
Structure: optimized geometry

Unit cell a=7.0190 b=7.0190 c=9.2790 alpha=90.00 beta=90.00 gamma=90.00
Space group I-42d (No. 122)
Symmetry-distinct sites (fractional):
Ir: 0.0000 0.0000 0.0000
Se: 0.1569 0.2500 0.1250
I: 0.0000 0.0000 0.5000

Calculated values
ΔE to the lowest computed polymorph = 0.3185 eV/atom

***

Compound: Na4LaNp3Te8
Source: Alexandria via LeMat-Bulk
Functional: PBE-GGA
Structure: optimized geometry

Unit cell a=9.0732 b=9.0732 c=22.4820 alpha=90.00 beta=90.00 gamma=120.00
Space group R-3m (No. 166, hexagonal axes)
Symmetry-distinct sites (fractional):
Na: 0.0000 0.0000 0.0000
Na: 0.0000 0.5000 0.0000
La: 0.0000 0.0000 0.5000
Np: 0.0000 0.5000 0.5000
Te: 0.0000 0.0000 0.2437
Te: 0.0067 0.5033 0.7541

Calculated values
Calculated total energy = -5.589 eV/atom

***

Compound: CaCe2Si6
Source: Alexandria via LeMat-Bulk
Functional: PBE-GGA
Structure: optimized geometry

Unit cell a=7.0523 b=7.0523 c=4.1569 alpha=90.00 beta=90.00 gamma=120.00
Space group P6/mmm (No. 191)
Symmetry-distinct sites (fractional):
Ca: 0.0000 0.0000 0.0000
Ce: 0.3333 0.6667 0.0000
Si: 0.0000 0.3352 0.5000

Calculated values
Calculated total energy = -5.701 eV/atom

***

Compound: YSc2H8
Source: Alexandria via LeMat-Bulk
Functional: PBE-GGA
Structure: optimized geometry

Unit cell a=3.4293 b=4.9225 c=10.3348 alpha=90.00 beta=90.00 gamma=90.00
Space group Immm (No. 71)
Symmetry-distinct sites (fractional):
Y: 0.0000 0.0000 0.0000
Sc: 0.0000 0.0000 0.3297
H: 0.0000 0.2090 0.5000
H: 0.0000 0.2717 0.1662
H: 0.0000 0.5000 0.3424

Calculated values
Calculated total energy = -4.741 eV/atom

***

Listing V for the structures above in their given order: 193.2 84.5 89.6 91.8 110.0 144.4 768.6 941.2 457.1 1602.9 179.0 174.5 Å³ per cell.